*A*
ScF after structural relaxation, computed with PBE.

a = 6.6618 Å, b = 6.6618 Å, c = 6.6618 Å
α = 90.00°, β = 90.00°, γ = 90.00°
Last column: nearest neighbours and their distance in Å.
Space group I-43m (No. 217)
Asymmetric unit:
Sc 0.1954 0.1954 0.8046  4 F 2.03-2.25
F 0.1290 0.1290 0.1290  4 Sc 2.03-2.25

Properties
- total moment (μB/f.u.) = 0.000

*B*
ScF after structural relaxation, computed with PBE.

a = 9.1849 Å, b = 9.1849 Å, c = 3.3971 Å
α = 90.00°, β = 90.00°, γ = 90.00°
Last column: nearest neighbours and their distance in Å.
Space group I4/m (No. 87)
Asymmetric unit:
Sc 0.0847 0.3238 0.0000  2 F 2.18
F 0.1283 0.7801 0.0000  2 Sc 2.18

Properties
- total moment (μB/f.u.) = 0.000

The winner here is *B*, beating the second structure by 100 meV/atom.

*A*
ScF after structural relaxation, computed with PBE.

a = 3.2767 Å, b = 9.5441 Å, c = 5.5511 Å
α = 90.00°, β = 90.00°, γ = 90.00°
Last column: nearest neighbours and their distance in Å.
Space group Amm2 (No. 38)
Asymmetric unit:
Sc 0.0000 0.0000 0.0000  4 F 2.29-2.33
Sc 0.5000 0.1641 0.4362  3 F 2.15-2.27
F 0.0000 0.2008 0.7733  5 Sc 2.27-2.51
F 0.5000 0.0000 0.7025  4 Sc 2.15-2.33

Properties
- total moment (μB/f.u.) = 0.000

*B*
ScF after structural relaxation, computed with PBE.

a = 3.4134 Å, b = 11.0113 Å, c = 5.2808 Å
α = 90.00°, β = 90.00°, γ = 90.00°
Last column: nearest neighbours and their distance in Å.
Space group Pmmn (No. 59, origin choice 2)
Asymmetric unit:
Sc 0.2500 0.1074 0.2482  4 F 2.22-2.35
Sc 0.2500 0.7500 0.1747  4 F 2.06-2.26
F 0.2500 0.2500 0.5442  4 Sc 2.22-2.26
F 0.2500 0.5733 0.0484  2 Sc 2.06-2.25

Properties
- total moment (μB/f.u.) = 0.000

The winner here is *A*, beating the second structure by 36 meV/atom.

*A*
ScF after structural relaxation, computed with PBE.

a = 7.0676 Å, b = 7.2468 Å, c = 9.9785 Å
α = 90.00°, β = 90.00°, γ = 90.00°
Last column: nearest neighbours and their distance in Å.
Space group Fddd (No. 70, origin choice 2)
Asymmetric unit:
Sc 0.1250 0.3563 0.1250  4 F 2.17-2.31
F 0.1250 0.1250 0.5007  4 Sc 2.17-2.31

Properties
- total moment (μB/f.u.) = 0.000

*B*
ScF after structural relaxation, computed with PBE.

a = 8.5839 Å, b = 8.5839 Å, c = 3.4714 Å
α = 90.00°, β = 90.00°, γ = 120.00°
Last column: nearest neighbours and their distance in Å.
Space group P6_3/m (No. 176)
Asymmetric unit:
Sc 0.1404 0.7218 0.2500  4 F 2.09-2.26
F 0.0368 0.4224 0.2500  4 Sc 2.09-2.26

Properties
- total moment (μB/f.u.) = 0.672

*C*
ScF after structural relaxation, computed with PBE.

a = 4.8431 Å, b = 4.8431 Å, c = 4.8431 Å
α = 90.00°, β = 90.00°, γ = 90.00°
Last column: nearest neighbours and their distance in Å.
Space group Fm-3m (No. 225)
Asymmetric unit:
Sc 0.0000 0.0000 0.0000  6 F 2.42
F 0.0000 0.0000 0.5000  6 Sc 2.42

Properties
- total moment (μB/f.u.) = 0.431

*D*
ScF after structural relaxation, computed with PBE.

a = 3.4953 Å, b = 3.4953 Å, c = 5.1950 Å
α = 90.00°, β = 90.00°, γ = 90.00°
Last column: nearest neighbours and their distance in Å.
Space group P4/nmm (No. 129, origin choice 2)
Asymmetric unit:
Sc 0.2500 0.2500 0.2291  4 F 2.24
F 0.2500 0.7500 0.5000  4 Sc 2.24, 4 F 2.47

Properties
- total moment (μB/f.u.) = 0.000

The winner here is *D*, beating the second structure by 21 meV/atom.

*A*
ScF after structural relaxation, computed with PBE.

a = 6.2561 Å, b = 6.2561 Å, c = 3.4166 Å
α = 90.00°, β = 90.00°, γ = 90.00°
Last column: nearest neighbours and their distance in Å.
Space group P4_2/mnm (No. 136)
Asymmetric unit:
Sc 0.2069 0.2069 0.0000  4 F 2.17-2.22
F 0.1322 0.8678 0.0000  4 Sc 2.17-2.22, 1 F 2.34

Properties
- total moment (μB/f.u.) = 0.000

*B*
ScF after structural relaxation, computed with PBE.

a = 5.4047 Å, b = 6.0047 Å, c = 7.3510 Å
α = 90.00°, β = 90.00°, γ = 90.00°
Last column: nearest neighbours and their distance in Å.
Space group P2_12_12_1 (No. 19)
Asymmetric unit:
Sc 0.0331 0.1915 0.0927  4 F 2.19-2.30
Sc 0.0476 0.1766 0.6631  4 F 2.19-2.32
F 0.0348 0.8239 0.1174  4 Sc 2.21-2.30
F 0.2038 0.5352 0.6346  4 Sc 2.19-2.32

Properties
- total moment (μB/f.u.) = 0.000

*C*
ScF after structural relaxation, computed with PBE.

a = 9.0126 Å, b = 9.0126 Å, c = 3.3491 Å
α = 90.00°, β = 90.00°, γ = 90.00°
Last column: nearest neighbours and their distance in Å.
Space group P4/m (No. 83)
Asymmetric unit:
Sc 0.0812 0.3277 0.0000  2 F 2.01
Sc 0.2753 0.5910 0.5000  2 F 2.19
F 0.0458 0.2089 0.5000  2 Sc 2.01
F 0.1766 0.7133 0.0000  4 Sc 2.19-2.35

Properties
- total moment (μB/f.u.) = 0.049

*D*
ScF after structural relaxation, computed with PBE.

a = 5.1266 Å, b = 5.1266 Å, c = 5.1266 Å
α = 90.00°, β = 90.00°, γ = 90.00°
Last column: nearest neighbours and their distance in Å.
Space group F-43m (No. 216)
Asymmetric unit:
Sc 0.0000 0.0000 0.0000  4 F 2.22
F 0.2500 0.2500 0.2500  4 Sc 2.22

Properties
- total moment (μB/f.u.) = 0.000

The winner here is *C*, beating the second structure by 36 meV/atom.

*A*
ScF after structural relaxation, computed with PBE.

a = 3.1804 Å, b = 3.1804 Å, c = 7.2778 Å
α = 90.00°, β = 90.00°, γ = 120.00°
Last column: nearest neighbours and their distance in Å.
Space group P6_3mc (No. 186)
Asymmetric unit:
Sc 0.3333 0.6667 0.0000  1 F 2.09
F 0.3333 0.6667 0.7134  1 Sc 2.09

Properties
- total moment (μB/f.u.) = 0.001

*B*
ScF after structural relaxation, computed with PBE.

a = 6.2365 Å, b = 6.2365 Å, c = 6.2365 Å
α = 90.00°, β = 90.00°, γ = 90.00°
Last column: nearest neighbours and their distance in Å.
Space group Pm-3n (No. 223)
Asymmetric unit:
Sc 0.0000 0.2500 0.5000  4 F 2.20
F 0.0000 0.5000 0.2500  4 Sc 2.20

Properties
- total moment (μB/f.u.) = 1.220

The winner here is *A*, beating the second structure by 388 meV/atom.

*A*
ScSeF2 after structural relaxation, computed with PBE.

a = 3.0899 Å, b = 3.0899 Å, c = 27.9361 Å
α = 90.00°, β = 90.00°, γ = 120.00°
Last column: nearest neighbours and their distance in Å.
Space group R-3m (No. 166, hexagonal axes)
Asymmetric unit:
Sc 0.0000 0.0000 0.0000  6 F 2.14
Se 0.0000 0.0000 0.5000  6 Se 3.09
F 0.0000 0.0000 0.3753  3 Sc 2.14

Properties
- total moment (μB/f.u.) = 0.000

*B*
ScSeF2 after structural relaxation, computed with PBE.

a = 6.0836 Å, b = 6.0836 Å, c = 6.0836 Å
α = 90.00°, β = 90.00°, γ = 90.00°
Last column: nearest neighbours and their distance in Å.
Space group Fm-3m (No. 225)
Asymmetric unit:
Sc 0.0000 0.0000 0.0000  8 F 2.63
Se 0.0000 0.0000 0.5000  8 F 2.63
F 0.2500 0.2500 0.2500  4 Se 2.63, 4 Sc 2.63

Properties
- total moment (μB/f.u.) = 0.000

*C*
ScSeF2 after structural relaxation, computed with PBE.

a = 5.0134 Å, b = 5.0134 Å, c = 12.3176 Å
α = 90.00°, β = 90.00°, γ = 90.00°
Last column: nearest neighbours and their distance in Å.
Space group I4_1/amd (No. 141, origin choice 2)
Asymmetric unit:
Sc 0.0000 0.2500 0.3750  4 F 1.99
Se 0.0000 0.2500 0.8750  8 F 3.20, 4 Sc 3.55
F 0.0000 0.0000 0.5000  2 Sc 1.99

Properties
- total moment (μB/f.u.) = 1.000

The winner here is *C*, beating the second structure by 132 meV/atom.